[1]
A plane-wave DFT calculation with PBE was carried out for a relaxed structure of Si2RuAu.

Cell and atoms, written as POSCAR:
```
Si2RuAu
1.0
6.406 -1.409 0.000
6.406 1.409 0.000
-1.042 0.000 3.524
Si Ru Au
2 1 1
direct
0.000 0.000 0.000 Si
0.223 0.223 0.721 Si
0.662 0.662 0.160 Ru
0.390 0.390 0.391 Au
```

Values from the calculation:
For the energy above the most stable polymorph in this dataset, the calculation gives 75 meV per atom. The space group is Cm. Its density of states at the Fermi level is 0.540 states/eV/atom.



[2]
A plane-wave DFT calculation with PBE was carried out for a relaxed structure of LiNbSbO6.

Cell and atoms, written as POSCAR:
```
LiNbSbO6
1.0
5.375 0.000 0.000
-2.687 4.654 0.000
0.000 0.000 9.165
Li Nb Sb O
2 2 2 12
direct
0.000 0.000 0.000 Li
0.000 0.000 0.500 Li
0.333 0.667 0.250 Nb
0.667 0.333 0.750 Nb
0.333 0.667 0.750 Sb
0.667 0.333 0.250 Sb
0.002 0.365 0.633 O
0.002 0.637 0.867 O
0.363 0.365 0.867 O
0.363 0.998 0.633 O
0.365 0.002 0.133 O
0.365 0.363 0.367 O
0.635 0.637 0.633 O
0.635 0.998 0.867 O
0.637 0.002 0.367 O
0.637 0.635 0.133 O
0.998 0.363 0.133 O
0.998 0.635 0.367 O
```

Values from the calculation:
The total energy is -6.7718 eV per atom. The space group is P-31c. Its density of states at the Fermi level is 0.357 states/eV/atom.



[3]
A plane-wave DFT calculation with PBE was carried out for a relaxed structure of CsUCl14.

Cell and atoms, written as POSCAR:
```
CsUCl14
1.0
5.145 -6.704 0.000
5.145 6.704 0.000
-2.532 0.000 7.948
Cs U Cl
1 1 14
direct
0.000 0.000 0.000 Cs
0.640 0.360 0.000 U
0.002 0.998 0.500 Cl
0.056 0.592 0.580 Cl
0.234 0.755 0.240 Cl
0.245 0.766 0.760 Cl
0.340 0.316 0.843 Cl
0.399 0.349 0.223 Cl
0.408 0.944 0.420 Cl
0.525 0.475 0.500 Cl
0.527 0.046 0.003 Cl
0.651 0.601 0.777 Cl
0.661 0.202 0.718 Cl
0.684 0.660 0.157 Cl
0.798 0.339 0.282 Cl
0.954 0.473 0.997 Cl
```

Values from the calculation:
The total energy is -3.1450 eV per atom. The space group is C2. Its density of states at the Fermi level is 0.781 states/eV/atom.



[4]
A plane-wave DFT calculation with PBE was carried out for a relaxed structure of BeCdInOs2.

Cell and atoms, written as POSCAR:
```
BeCdInOs2
1.0
4.899 0.000 0.000
0.000 4.899 0.000
0.000 0.000 4.874
Be Cd In Os
1 1 1 2
direct
0.000 0.000 0.000 Be
0.500 0.500 0.500 Cd
0.500 0.500 0.000 In
0.000 0.500 0.500 Os
0.500 0.000 0.500 Os
```

Values from the calculation:
The formation enthalpy at 0 K is 2.67 eV/atom. The space group is P4/mmm. Its density of states at the Fermi level is 1.229 states/eV/atom.



[5]
A plane-wave DFT calculation with PBE was carried out for a relaxed structure of Zn2InRu.

Cell and atoms, written as POSCAR:
```
Zn2InRu
1.0
-1.927 1.927 4.255
1.927 -1.927 4.255
1.927 1.927 -4.255
Zn In Ru
2 1 1
direct
0.000 0.000 0.000 Zn
0.750 0.250 0.500 Zn
0.250 0.750 0.500 In
0.500 0.500 0.000 Ru
```

Values from the calculation:
The formation enthalpy at 0 K is -0.03 eV/atom. The space group is I-4m2. Its density of states at the Fermi level is 0.623 states/eV/atom.



[6]
A plane-wave DFT calculation with PBE was carried out for a relaxed structure of ZrPt.

Cell and atoms, written as POSCAR:
```
ZrPt
1.0
1.589 0.917 8.986
-1.589 0.917 8.986
0.000 -1.835 8.986
Zr Pt
2 2
direct
0.119 0.119 0.119 Zr
0.881 0.881 0.881 Zr
0.376 0.376 0.376 Pt
0.624 0.624 0.624 Pt
```

Values from the calculation:
The formation enthalpy at 0 K is -0.38 eV/atom. The space group is R-3m. Its density of states at the Fermi level is 0.470 states/eV/atom.



[7]
A plane-wave DFT calculation with PBE was carried out for a relaxed structure of La2ZrBBr.

Cell and atoms, written as POSCAR:
```
La2ZrBBr
1.0
5.704 0.000 0.000
0.000 5.704 0.000
0.000 0.000 4.238
La Zr B Br
2 1 1 1
direct
0.000 0.500 0.000 La
0.500 0.000 0.000 La
0.000 0.000 0.500 Zr
0.500 0.500 0.500 B
0.500 0.500 0.000 Br
```

Values from the calculation:
The total energy is -4.6824 eV per atom. The space group is P4/mmm. Its density of states at the Fermi level is 1.128 states/eV/atom.



[8]
A plane-wave DFT calculation with PBE was carried out for a relaxed structure of CsTa2VFe.

Cell and atoms, written as POSCAR:
```
CsTa2VFe
1.0
4.821 0.000 0.000
0.000 4.821 0.000
0.000 0.000 4.981
Cs Ta V Fe
1 2 1 1
direct
0.000 0.000 0.000 Cs
0.000 0.500 0.500 Ta
0.500 0.000 0.500 Ta
0.500 0.500 0.500 V
0.500 0.500 0.000 Fe
```

Values from the calculation:
The formation enthalpy at 0 K is 1.67 eV/atom. The space group is P4/mmm. Its density of states at the Fermi level is 1.144 states/eV/atom.



[9]
A plane-wave DFT calculation with PBE was carried out for a relaxed structure of BaTa3N.

Cell and atoms, written as POSCAR:
```
BaTa3N
1.0
5.070 0.000 0.000
0.000 5.070 0.000
0.000 0.000 5.070
Ba Ta N
1 3 1
direct
0.000 0.000 0.000 Ba
0.000 0.000 0.500 Ta
0.000 0.500 0.000 Ta
0.500 0.000 0.000 Ta
0.500 0.500 0.500 N
```

Values from the calculation:
For the energy above the most stable polymorph in this dataset, the calculation gives 3569 meV per atom. The space group is Pm-3m. Its density of states at the Fermi level is 1.247 states/eV/atom.



[10]
A plane-wave DFT calculation with PBE was carried out for a relaxed structure of Sr2TaTc.

Cell and atoms, written as POSCAR:
```
Sr2TaTc
1.0
-5.907 5.907 2.329
5.907 -5.907 2.329
5.907 5.907 -2.329
Sr Ta Tc
4 2 2
direct
0.375 0.205 0.330 Sr
0.795 0.125 0.170 Sr
0.875 0.045 0.670 Sr
0.955 0.625 0.830 Sr
0.250 0.750 0.500 Ta
0.500 0.500 0.000 Ta
0.000 0.000 0.000 Tc
0.750 0.250 0.500 Tc
```

Values from the calculation:
For the energy above the most stable polymorph in this dataset, the calculation gives 665 meV per atom. The formation enthalpy at 0 K is 0.99 eV/atom. The space group is I-42d. Its density of states at the Fermi level is 1.298 states/eV/atom.



[11]
A plane-wave DFT calculation with PBE was carried out for a relaxed structure of ErTh2Pt9.

Cell and atoms, written as POSCAR:
```
ErTh2Pt9
1.0
4.198 0.000 0.000
0.000 4.198 0.000
0.000 0.000 12.541
Er Th Pt
1 2 9
direct
0.000 0.000 0.000 Er
0.000 0.000 0.328 Th
0.000 0.000 0.672 Th
0.000 0.500 0.162 Pt
0.000 0.500 0.500 Pt
0.000 0.500 0.838 Pt
0.500 0.000 0.162 Pt
0.500 0.000 0.500 Pt
0.500 0.000 0.838 Pt
0.500 0.500 0.000 Pt
0.500 0.500 0.331 Pt
0.500 0.500 0.669 Pt
```

Values from the calculation:
The formation enthalpy at 0 K is -1.12 eV/atom. The space group is P4/mmm. Its density of states at the Fermi level is 0.188 states/eV/atom.



[12]
A plane-wave DFT calculation with PBE was carried out for a relaxed structure of CaPtSeN2.

Cell and atoms, written as POSCAR:
```
CaPtSeN2
1.0
4.330 0.000 0.000
0.000 4.330 0.000
0.000 0.000 5.928
Ca Pt Se N
1 1 1 2
direct
0.000 0.000 0.000 Ca
0.500 0.500 0.500 Pt
0.000 0.000 0.500 Se
0.000 0.500 0.000 N
0.500 0.000 0.000 N
```

Values from the calculation:
For the energy above the most stable polymorph in this dataset, the calculation gives 1282 meV per atom. The space group is P4/mmm. Its density of states at the Fermi level is 0.824 states/eV/atom.